DFT (PBE) results for a relaxed GdMgSc crystal.

```
3
Lattice="-2.365 -2.102 -0.811 2.779 -3.966 2.179 -3.457 2.752 2.946" Properties=species:S:1:pos:R:3 pbc="T T T"
Sc -2.203 -1.959 -0.756
Mg -0.995 -3.233 1.854
Gd -2.209 -0.226 2.405
```

## Properties
excess energy over the best structure of this formula in the dataset: 0.26 eV per formula unit
D(E_F): 4.5 states/eV/cell
energy of formation from the pure elements: 0.061 eV per atom



DFT (PBE) results for a relaxed GdMgSc crystal.

```
3
Lattice="3.524 0.000 0.000 0.000 3.524 0.000 -1.762 -1.762 6.450" Properties=species:S:1:pos:R:3 pbc="T T T"
Sc 0.000 0.000 4.187
Mg 1.762 1.762 2.269
Gd 1.762 1.762 6.444
```

## Properties
excess energy over the best structure of this formula in the dataset: 0.00 eV per formula unit
D(E_F): 3.9 states/eV/cell
energy of formation from the pure elements: -0.025 eV per atom



DFT (PBE) results for a relaxed GdMg2Sc crystal.

```
4
Lattice="-0.226 3.469 -1.246 -3.639 -0.409 -0.480 -1.198 2.436 7.000" Properties=species:S:1:pos:R:3 pbc="T T T"
Sc -1.932 1.530 -0.863
Mg -0.924 1.880 5.402
Mg -0.273 0.556 1.598
Gd -2.531 2.748 2.637
```

## Properties
D(E_F): 4.8 states/eV/cell
energy of formation from the pure elements: -0.064 eV per atom



DFT (PBE) results for a relaxed GdMgScSn crystal.

```
4
Lattice="-4.894 1.446 0.865 -3.012 -2.806 3.137 -1.366 1.868 4.629" Properties=species:S:1:pos:R:3 pbc="T T T"
Sc -4.636 0.254 4.316
Mg -6.954 0.381 6.474
Gd 0.000 0.000 0.000
Sn -2.318 0.127 2.158
```

## Properties
D(E_F): 3.2 states/eV/cell
energy of formation from the pure elements: -0.384 eV per atom